Run 1
An optimized crystal structure of HfAuF2. Source: the Alexandria database, functional PBE.

Computed properties:
The density of states at the Fermi level is 0.5580 states/eV per atom. Its calculated density is 12.1 g/cm3. As for the total magnetization: 0.00 Bohr magnetons per cell.

Cell: 4.313 4.313 4.313 Å, 60.00 60.00 60.00°
Fractional positions:
Hf  0.000  0.000  0.000
F  0.250  0.250  0.250
F  0.750  0.750  0.750
Au  0.500  0.500  0.500

Run 2
An optimized crystal structure of HfAuF2. Source: the Alexandria database, functional PBE.

Computed properties:
The density of states at the Fermi level is 0.3538 states/eV per atom. Its calculated density is 10.3 g/cm3. As for the total magnetization: 0.00 Bohr magnetons per cell.

Cell: 4.332 4.332 7.745 Å, 73.76 73.76 90.00°
Fractional positions:
Au  0.750  0.250  0.500
Au  0.000  0.000  0.000
F  0.875  0.691  0.750
F  0.375  0.559  0.750
F  0.309  0.625  0.250
F  0.441  0.125  0.250
Hf  0.250  0.750  0.500
Hf  0.500  0.500  0.000

The computed energies, referenced to the most stable structure and given in meV/atom, are run 1 674; run 2 0.

Run 1
An optimized crystal structure of Hf2AuF2. Source: the Alexandria database, functional PBE.

Computed properties:
The density of states at the Fermi level is 0.4349 states/eV per atom. Its calculated density is 11.7 g/cm3. As for the total magnetization: 0.00 Bohr magnetons per cell.

Cell: 7.721 7.721 2.828 Å, 90.00 90.00 90.00°
Fractional positions:
F  0.897  0.603  0.000
F  0.397  0.897  0.000
F  0.603  0.103  0.000
F  0.103  0.397  0.000
Hf  0.254  0.246  0.500
Hf  0.746  0.754  0.500
Hf  0.246  0.746  0.500
Hf  0.754  0.254  0.500
Au  0.500  0.500  0.000
Au  0.000  0.000  0.000

Run 2
An optimized crystal structure of Hf2AuF2. Source: the Alexandria database, functional PBE.

Computed properties:
The density of states at the Fermi level is 0.9187 states/eV per atom. Its calculated density is 12.4 g/cm3. As for the total magnetization: 0.00 Bohr magnetons per cell.

Cell: 4.323 4.323 5.232 Å, 65.60 65.60 90.00°
Fractional positions:
Au  0.000  0.000  0.000
Hf  0.750  0.250  0.500
Hf  0.250  0.750  0.500
F  0.353  0.353  0.294
F  0.647  0.647  0.706

The computed energies, referenced to the most stable structure and given in meV/atom, are run 1 77; run 2 0.

Run 1
An optimized crystal structure of HgAuF4. Source: the Alexandria database, functional PBE.

Computed properties:
Its calculated density is 8.0 g/cm3. As for the total magnetization: 2.00 Bohr magnetons per cell.

Cell: 4.329 4.329 11.544 Å, 84.60 84.60 66.10°
Last column: magnetic moment on the atom in μB.
Fractional positions:
Hg  0.500  0.000  0.500  0.01
Hg  0.000  0.500  0.000  0.01
Au  0.750  0.250  0.750  0.60
Au  0.250  0.750  0.250  0.60
F  0.677  0.177  0.932  0.09
F  0.974  0.474  0.187  0.09
F  0.323  0.823  0.068  0.09
F  0.026  0.526  0.813  0.09
F  0.474  0.974  0.687  0.09
F  0.177  0.677  0.432  0.09
F  0.823  0.323  0.568  0.09
F  0.526  0.026  0.313  0.09

Run 2
An optimized crystal structure of HgAuF4. Source: the Alexandria database, functional PBE.

Computed properties:
The density of states at the Fermi level is 0.1080 states/eV per atom. Its calculated density is 8.5 g/cm3. As for the total magnetization: 2.00 Bohr magnetons per cell.

Cell: 5.727 5.727 6.932 Å, 114.40 114.40 90.00°
Last column: magnetic moment on the atom in μB.
Fractional positions:
Au  0.500  0.000  0.000  0.58
Au  0.000  0.500  0.000  0.58
F  0.321  0.821  0.271  0.09
F  0.679  0.179  0.729  0.09
F  0.821  0.950  0.271  0.09
F  0.550  0.679  0.729  0.09
F  0.450  0.321  0.271  0.09
F  0.179  0.050  0.729  0.09
F  0.050  0.550  0.729  0.09
F  0.950  0.450  0.271  0.09
Hg  0.750  0.750  0.500  0.03
Hg  0.250  0.250  0.500  0.03

The computed energies, referenced to the most stable structure and given in meV/atom, are run 1 33; run 2 0.

Run 1
An optimized crystal structure of Hg3AuF. Source: the Alexandria database, functional PBE.

Computed properties:
The density of states at the Fermi level is 0.2924 states/eV per atom. Its calculated density is 12.1 g/cm3. As for the total magnetization: 0.00 Bohr magnetons per cell.

Cell: 3.957 8.414 7.811 Å, 60.28 85.09 90.63°
Fractional positions:
Hg  0.484  0.271  0.096
Hg  0.997  0.035  0.461
Hg  0.519  0.183  0.635
Hg  0.504  0.632  0.731
Hg  0.033  0.947  0.000
Hg  0.011  0.586  0.365
Au  0.509  0.873  0.316
Au  0.007  0.345  0.780
F  0.517  0.455  0.265
F  0.996  0.762  0.831

Run 2
An optimized crystal structure of Hg3AuF. Source: the Alexandria database, functional PBE.

Computed properties:
The density of states at the Fermi level is 1.0575 states/eV per atom. Its calculated density is 11.3 g/cm3. As for the total magnetization: 0.00 Bohr magnetons per cell.

Cell: 4.941 4.941 4.941 Å, 90.00 90.00 90.00°
Fractional positions:
F  0.000  0.000  0.000
Hg  0.000  0.500  0.000
Hg  0.000  0.000  0.500
Hg  0.500  0.000  0.000
Au  0.500  0.500  0.500

The computed energies, referenced to the most stable structure and given in meV/atom, are run 1 0; run 2 432.

Run 1
An optimized crystal structure of HgAuF2. Source: the Alexandria database, functional PBE.

Computed properties:
The density of states at the Fermi level is 0.2479 states/eV per atom. Its calculated density is 12.0 g/cm3. As for the total magnetization: 0.00 Bohr magnetons per cell.

Cell: 4.406 4.406 4.406 Å, 60.00 60.00 60.00°
Fractional positions:
Au  0.000  0.000  0.000
Hg  0.500  0.500  0.500
F  0.250  0.250  0.250
F  0.750  0.750  0.750

Run 2
An optimized crystal structure of HgAuF2. Source: the Alexandria database, functional PBE.

Computed properties:
The density of states at the Fermi level is 0.2956 states/eV per atom. Its calculated density is 10.7 g/cm3. As for the total magnetization: 0.00 Bohr magnetons per cell.

Cell: 8.268 8.268 8.268 Å, 21.64 21.64 21.64°
Fractional positions:
Au  0.000  0.000  0.000
Hg  0.500  0.500  0.500
F  0.085  0.085  0.085
F  0.915  0.915  0.915

The computed energies, referenced to the most stable structure and given in meV/atom, are run 1 195; run 2 0.

Run 1
An optimized crystal structure of HgAuNF2. Source: the Alexandria database, functional PBE.

Computed properties:
The density of states at the Fermi level is 0.3938 states/eV per atom. Its calculated density is 8.4 g/cm3. As for the total magnetization: 1.58 Bohr magnetons per cell.

Cell: 4.593 4.593 4.201 Å, 90.00 90.00 90.00°
Last column: magnetic moment on the atom in μB.
Fractional positions:
Au  0.500  0.500  0.500  0.01
N  0.000  0.000  0.500  1.02
F  0.500  0.000  0.000  0.03
F  0.000  0.500  0.000  0.03
Hg  0.000  0.000  0.000  0.08

Run 2
An optimized crystal structure of HgAuNF2. Source: the Alexandria database, functional PBE.

Computed properties:
The density of states at the Fermi level is 0.4802 states/eV per atom. Its calculated density is 9.0 g/cm3. As for the total magnetization: 0.40 Bohr magnetons per cell.

Cell: 4.658 4.658 3.818 Å, 90.00 90.00 90.00°
Last column: magnetic moment on the atom in μB.
Fractional positions:
Au  0.000  0.000  0.000  0.07
Hg  0.500  0.500  0.500  -0.01
F  0.500  0.000  0.000  0.00
F  0.000  0.500  0.000  0.00
N  0.000  0.000  0.500  0.24

The computed energies, referenced to the most stable structure and given in meV/atom, are run 1 296; run 2 0.

Run 1
An optimized crystal structure of AuIF2. Source: the Alexandria database, functional PBE.

Computed properties:
The density of states at the Fermi level is 0.7039 states/eV per atom. Its calculated density is 6.1 g/cm3. As for the total magnetization: 0.00 Bohr magnetons per cell.

Cell: 8.419 8.419 6.568 Å, 50.14 50.14 90.00°
Fractional positions:
F  0.375  0.147  0.750
F  0.875  0.103  0.750
F  0.853  0.125  0.250
F  0.897  0.625  0.250
I  0.500  0.500  0.000
I  0.250  0.750  0.500
Au  0.750  0.250  0.500
Au  0.000  0.000  0.000

Run 2
An optimized crystal structure of AuIF2. Source: the Alexandria database, functional PBE.

Computed properties:
The density of states at the Fermi level is 0.3509 states/eV per atom. Its calculated density is 7.2 g/cm3. As for the total magnetization: 0.00 Bohr magnetons per cell.

Cell: 9.137 9.137 9.137 Å, 20.72 20.72 20.72°
Fractional positions:
F  0.076  0.076  0.076
F  0.924  0.924  0.924
Au  0.500  0.500  0.500
I  0.000  0.000  0.000

The computed energies, referenced to the most stable structure and given in meV/atom, are run 1 28; run 2 0.

Run 1
An optimized crystal structure of AuIF2. Source: the Alexandria database, functional PBE.

Computed properties:
The density of states at the Fermi level is 0.8286 states/eV per atom. Its calculated density is 7.6 g/cm3. As for the total magnetization: 0.00 Bohr magnetons per cell.

Cell: 9.160 9.160 9.160 Å, 20.09 20.09 20.09°
Fractional positions:
F  0.073  0.073  0.073
F  0.927  0.927  0.927
Au  0.000  0.000  0.000
I  0.500  0.500  0.500

Run 2
An optimized crystal structure of AuIF2. Source: the Alexandria database, functional PBE.

Computed properties:
The density of states at the Fermi level is 1.0144 states/eV per atom. Its calculated density is 9.2 g/cm3. As for the total magnetization: 0.00 Bohr magnetons per cell.

Cell: 4.528 4.528 4.528 Å, 60.00 60.00 60.00°
Fractional positions:
F  0.750  0.750  0.750
F  0.250  0.250  0.250
I  0.000  0.000  0.000
Au  0.500  0.500  0.500

The computed energies, referenced to the most stable structure and given in meV/atom, are run 1 0; run 2 287.

Run 1
An optimized crystal structure of AuIF3. Source: the Alexandria database, functional PBE.

Computed properties:
The density of states at the Fermi level is 0.0254 states/eV per atom. Its calculated density is 5.9 g/cm3. As for the total magnetization: 2.01 Bohr magnetons per cell.

Cell: 4.909 5.749 7.564 Å, 91.45 90.00 89.98°
Last column: magnetic moment on the atom in μB.
Fractional positions:
F  0.467  0.794  0.577  0.03
F  0.490  0.376  0.192  0.13
F  0.968  0.559  0.325  0.03
F  0.847  0.514  0.828  0.06
F  0.990  0.977  0.709  0.13
F  0.347  0.839  0.073  0.06
I  0.414  0.259  0.695  0.49
I  0.914  0.094  0.206  0.49
Au  0.660  0.704  0.200  0.05
Au  0.160  0.649  0.702  0.05

Run 2
An optimized crystal structure of AuIF3. Source: the Alexandria database, functional PBE.

Computed properties:
The density of states at the Fermi level is 0.2598 states/eV per atom. Its calculated density is 6.3 g/cm3. As for the total magnetization: 0.00 Bohr magnetons per cell.

Cell: 4.653 4.653 4.653 Å, 90.00 90.00 90.00°
Fractional positions:
F  0.500  0.000  0.000
F  0.000  0.500  0.000
F  0.000  0.000  0.500
Au  0.500  0.500  0.500
I  0.000  0.000  0.000

Run 3
An optimized crystal structure of AuIF3. Source: the Alexandria database, functional PBE.

Computed properties:
The density of states at the Fermi level is 1.0180 states/eV per atom. Its calculated density is 7.1 g/cm3. As for the total magnetization: 1.70 Bohr magnetons per cell.

Cell: 4.472 4.472 4.472 Å, 90.00 90.00 90.00°
Last column: magnetic moment on the atom in μB.
Fractional positions:
F  0.000  0.500  0.000  0.07
F  0.000  0.000  0.500  0.10
F  0.500  0.000  0.000  0.12
Au  0.000  0.000  0.000  0.00
I  0.500  0.500  0.500  0.95

The computed energies, referenced to the most stable structure and given in meV/atom, are run 1 0; run 2 469; run 3 312.

Run 1
An optimized crystal structure of AuIN2F. Source: the Alexandria database, functional PBE.

Computed properties:
The density of states at the Fermi level is 0.7026 states/eV per atom. Its calculated density is 5.2 g/cm3. As for the total magnetization: 4.54 Bohr magnetons per cell.

Cell: 4.031 4.031 7.248 Å, 90.00 90.00 90.00°
Last column: magnetic moment on the atom in μB.
Fractional positions:
N  0.500  0.000  0.000  1.56
N  0.000  0.500  0.000  1.56
F  0.000  0.000  0.000  0.01
Au  0.500  0.500  0.500  0.00
I  0.000  0.000  0.500  0.01

Run 2
An optimized crystal structure of AuIN2F. Source: the Alexandria database, functional PBE.

Computed properties:
The density of states at the Fermi level is 0.8178 states/eV per atom. Its calculated density is 8.1 g/cm3. As for the total magnetization: 1.25 Bohr magnetons per cell.

Cell: 4.183 4.183 4.363 Å, 90.00 90.00 90.00°
Last column: magnetic moment on the atom in μB.
Fractional positions:
N  0.500  0.000  0.000  0.42
N  0.000  0.500  0.000  0.42
F  0.000  0.000  0.500  0.00
I  0.500  0.500  0.500  -0.01
Au  0.000  0.000  0.000  0.10

The computed energies, referenced to the most stable structure and given in meV/atom, are run 1 537; run 2 0.

Run 1
An optimized crystal structure of AuIN2F. Source: the Alexandria database, functional PBE.

Computed properties:
The density of states at the Fermi level is 0.6698 states/eV per atom. Its calculated density is 5.0 g/cm3. As for the total magnetization: 3.77 Bohr magnetons per cell.

Cell: 3.932 3.932 7.893 Å, 90.00 90.00 90.00°
Last column: magnetic moment on the atom in μB.
Fractional positions:
F  0.500  0.500  0.500  0.09
Au  0.000  0.000  0.000  0.30
N  0.000  0.500  0.000  1.06
N  0.500  0.000  0.000  1.06
I  0.000  0.000  0.500  0.24

Run 2
An optimized crystal structure of AuIN2F. Source: the Alexandria database, functional PBE.

Computed properties:
The density of states at the Fermi level is 0.4099 states/eV per atom. Its calculated density is 8.1 g/cm3. As for the total magnetization: 0.00 Bohr magnetons per cell.

Cell: 4.098 4.098 4.527 Å, 90.00 90.00 90.00°
Fractional positions:
N  0.500  0.000  0.000
N  0.000  0.500  0.000
Au  0.500  0.500  0.500
I  0.000  0.000  0.000
F  0.000  0.000  0.500

The computed energies, referenced to the most stable structure and given in meV/atom, are run 1 0; run 2 96.

Run 1
An optimized crystal structure of AuIOF2. Source: the Alexandria database, functional PBE.

Computed properties:
The density of states at the Fermi level is 0.5706 states/eV per atom. Its calculated density is 6.9 g/cm3. As for the total magnetization: 0.00 Bohr magnetons per cell.

Cell: 4.776 4.776 4.005 Å, 90.00 90.00 90.00°
Fractional positions:
F  0.000  0.500  0.000
F  0.500  0.000  0.000
I  0.000  0.000  0.000
O  0.000  0.000  0.500
Au  0.500  0.500  0.500

Run 2
An optimized crystal structure of AuIOF2. Source: the Alexandria database, functional PBE.

Computed properties:
The density of states at the Fermi level is 1.0202 states/eV per atom. Its calculated density is 7.6 g/cm3. As for the total magnetization: 0.00 Bohr magnetons per cell.

Cell: 4.265 4.265 4.552 Å, 90.00 90.00 90.00°
Fractional positions:
F  0.000  0.500  0.000
F  0.500  0.000  0.000
O  0.000  0.000  0.500
Au  0.000  0.000  0.000
I  0.500  0.500  0.500

The computed energies, referenced to the most stable structure and given in meV/atom, are run 1 0; run 2 41.